[1]
VASP calculation (PBE) on a relaxed structure of K2CaTc.

Summary:
- Energy of formation: 836 meV/atom

The structure in CIF format:
```
data_K2CaTc
_chemical_formula_sum 'K4 Ca2 Tc2'
_symmetry_space_group_name_H-M 'I m m m'
_symmetry_Int_Tables_number 71
_symmetry_space_group_name_Hall '-I 2 2'
_cell_length_a 3.396
_cell_length_b 4.942
_cell_length_c 20.082
_cell_angle_alpha 90.00
_cell_angle_beta 90.00
_cell_angle_gamma 90.00
loop_
_atom_site_label
_atom_site_fract_x
_atom_site_fract_y
_atom_site_fract_z
K1 0.000 0.000 0.155
Ca1 0.000 0.500 0.000
Tc1 0.000 0.500 0.500
```

[2]
VASP calculation (PBE) on a relaxed structure of TmZnIr4.

Summary:
- Energy of formation: -345 meV/atom

The structure in CIF format:
```
data_TmZnIr4
_chemical_formula_sum 'Tm4 Zn4 Ir16'
_symmetry_space_group_name_H-M 'F -4 3 m'
_symmetry_Int_Tables_number 216
_symmetry_space_group_name_Hall 'F -4 2 3'
_cell_length_a 7.425
_cell_length_b 7.425
_cell_length_c 7.425
_cell_angle_alpha 90.00
_cell_angle_beta 90.00
_cell_angle_gamma 90.00
loop_
_atom_site_label
_atom_site_fract_x
_atom_site_fract_y
_atom_site_fract_z
Tm1 0.000 0.000 0.000
Zn1 0.250 0.250 0.750
Ir1 0.125 0.125 0.375
```

[3]
VASP calculation (PBE) on a relaxed structure of CuBi2RhO5.

Summary:
- ΔE_f (raw): -0.7935 eV/atom

The structure in CIF format:
```
data_CuBi2RhO5
_chemical_formula_sum 'Cu4 Bi8 Rh4 O20'
_symmetry_space_group_name_H-M 'C m c 21'
_symmetry_Int_Tables_number 36
_symmetry_space_group_name_Hall 'C 2c -2'
_cell_length_a 3.354
_cell_length_b 15.948
_cell_length_c 9.318
_cell_angle_alpha 90.00
_cell_angle_beta 90.00
_cell_angle_gamma 90.00
loop_
_atom_site_label
_atom_site_fract_x
_atom_site_fract_y
_atom_site_fract_z
Cu1 0.000 0.038 0.000
Bi1 0.000 0.357 0.247
Bi2 0.000 0.389 0.816
Rh1 0.000 0.282 0.548
O1 0.000 0.018 0.314
O2 0.000 0.150 0.576
O3 0.000 0.217 0.907
O4 0.000 0.222 0.185
O5 0.000 0.412 0.577
```

[4]
VASP calculation (PBE) on a relaxed structure of Nb2AlO5.

Summary:
- ΔE_f (raw): -2.4164 eV/atom

The structure in CIF format:
```
data_Nb2AlO5
_chemical_formula_sum 'Nb8 Al4 O20'
_symmetry_space_group_name_H-M 'P n m a'
_symmetry_Int_Tables_number 62
_symmetry_space_group_name_Hall '-P 2ac 2n'
_cell_length_a 8.416
_cell_length_b 3.064
_cell_length_c 14.492
_cell_angle_alpha 90.00
_cell_angle_beta 90.00
_cell_angle_gamma 90.00
loop_
_atom_site_label
_atom_site_fract_x
_atom_site_fract_y
_atom_site_fract_z
Nb1 0.148 0.250 0.062
Nb2 0.172 0.250 0.700
Al1 0.175 0.250 0.402
O1 0.024 0.750 0.652
O2 0.095 0.750 0.158
O3 0.103 0.750 0.963
O4 0.160 0.750 0.465
O5 0.225 0.750 0.792
```

[5]
VASP calculation (PBE) on a relaxed structure of Al3GaMo.

Summary:
- Energy of formation: 1116 meV/atom

The structure in CIF format:
```
data_Al3GaMo
_chemical_formula_sum 'Al3 Ga1 Mo1'
_symmetry_space_group_name_H-M 'P m -3 m'
_symmetry_Int_Tables_number 221
_symmetry_space_group_name_Hall '-P 4 2 3'
_cell_length_a 4.717
_cell_length_b 4.717
_cell_length_c 4.717
_cell_angle_alpha 90.00
_cell_angle_beta 90.00
_cell_angle_gamma 90.00
loop_
_atom_site_label
_atom_site_fract_x
_atom_site_fract_y
_atom_site_fract_z
Al1 0.000 0.000 0.500
Ga1 0.000 0.000 0.000
Mo1 0.500 0.500 0.500
```

[6]
VASP calculation (PBE) on a relaxed structure of Sr2PaRhO6.

Summary:
- ΔE_f (raw): -2.5390 eV/atom

The structure in CIF format:
```
data_Sr2PaRhO6
_chemical_formula_sum 'Sr2 Pa1 Rh1 O6'
_symmetry_space_group_name_H-M 'P 4/m m m'
_symmetry_Int_Tables_number 123
_symmetry_space_group_name_Hall '-P 4 2'
_cell_length_a 4.249
_cell_length_b 4.249
_cell_length_c 8.419
_cell_angle_alpha 90.00
_cell_angle_beta 90.00
_cell_angle_gamma 90.00
loop_
_atom_site_label
_atom_site_fract_x
_atom_site_fract_y
_atom_site_fract_z
Sr1 0.000 0.000 0.197
Pa1 0.500 0.500 0.500
Rh1 0.500 0.500 0.000
O1 0.000 0.500 0.000
O2 0.000 0.500 0.500
O3 0.500 0.500 0.244
```

[7]
VASP calculation (PBE) on a relaxed structure of NdY3Tm2Bi6.

Summary:
- Energy of formation: -863 meV/atom

The structure in CIF format:
```
data_NdY3Tm2Bi6
_chemical_formula_sum 'Nd2 Y6 Tm4 Bi12'
_symmetry_space_group_name_H-M 'C 1 2/m 1'
_symmetry_Int_Tables_number 12
_symmetry_space_group_name_Hall '-C 2y'
_cell_length_a 7.775
_cell_length_b 13.472
_cell_length_c 7.773
_cell_angle_alpha 90.00
_cell_angle_beta 109.50
_cell_angle_gamma 90.00
loop_
_atom_site_label
_atom_site_fract_x
_atom_site_fract_y
_atom_site_fract_z
Nd1 0.000 0.000 0.000
Y1 0.000 0.163 0.500
Y2 0.000 0.500 0.500
Tm1 0.000 0.332 0.000
Bi1 0.242 0.500 0.248
Bi2 0.246 0.330 0.749
```

[8]
VASP calculation (PBE) on a relaxed structure of P5Pb3S12.

Summary:
- ΔE_f (raw): -0.0775 eV/atom

The structure in CIF format:
```
data_P5Pb3S12
_chemical_formula_sum 'P40 Pb24 S96'
_symmetry_space_group_name_H-M 'I a -3 d'
_symmetry_Int_Tables_number 230
_symmetry_space_group_name_Hall '-I 4bd 2c 3'
_cell_length_a 15.356
_cell_length_b 15.356
_cell_length_c 15.356
_cell_angle_alpha 90.00
_cell_angle_beta 90.00
_cell_angle_gamma 90.00
loop_
_atom_site_label
_atom_site_fract_x
_atom_site_fract_y
_atom_site_fract_z
P1 0.000 0.000 0.000
P2 0.000 0.250 0.375
Pb1 0.000 0.250 0.125
S1 0.039 0.048 0.651
```

[9]
VASP calculation (PBE) on a relaxed structure of Ca2YPdO.

Summary:
- ΔE_f (raw): 0.8865 eV/atom

The structure in CIF format:
```
data_Ca2YPdO
_chemical_formula_sum 'Ca2 Y1 Pd1 O1'
_symmetry_space_group_name_H-M 'P 4/m m m'
_symmetry_Int_Tables_number 123
_symmetry_space_group_name_Hall '-P 4 2'
_cell_length_a 6.254
_cell_length_b 6.254
_cell_length_c 4.880
_cell_angle_alpha 90.00
_cell_angle_beta 90.00
_cell_angle_gamma 90.00
loop_
_atom_site_label
_atom_site_fract_x
_atom_site_fract_y
_atom_site_fract_z
Ca1 0.000 0.500 0.000
Y1 0.000 0.000 0.000
Pd1 0.000 0.000 0.500
O1 0.500 0.500 0.500
```

[10]
VASP calculation (PBE) on a relaxed structure of CoSi3Sb.

Summary:
- ΔE_f (raw): 0.2684 eV/atom

The structure in CIF format:
```
data_CoSi3Sb
_chemical_formula_sum 'Co1 Si3 Sb1'
_symmetry_space_group_name_H-M 'P m -3 m'
_symmetry_Int_Tables_number 221
_symmetry_space_group_name_Hall '-P 4 2 3'
_cell_length_a 4.461
_cell_length_b 4.461
_cell_length_c 4.461
_cell_angle_alpha 90.00
_cell_angle_beta 90.00
_cell_angle_gamma 90.00
loop_
_atom_site_label
_atom_site_fract_x
_atom_site_fract_y
_atom_site_fract_z
Co1 0.000 0.000 0.000
Si1 0.000 0.000 0.500
Sb1 0.500 0.500 0.500
```

[11]
VASP calculation (PBE) on a relaxed structure of HgH2Pt.

Summary:
- VASP energy: -3.136 eV per atom

The structure in CIF format:
```
data_HgH2Pt
_chemical_formula_sum 'Hg3 H6 Pt3'
_symmetry_space_group_name_H-M 'R -3 m'
_symmetry_Int_Tables_number 166
_symmetry_space_group_name_Hall '-R 3 2"'
_cell_length_a 2.9408
_cell_length_b 2.9408
_cell_length_c 21.1653
_cell_angle_alpha 90.00
_cell_angle_beta 90.00
_cell_angle_gamma 120.00
loop_
_atom_site_label
_atom_site_fract_x
_atom_site_fract_y
_atom_site_fract_z
Hg1 0.0000 0.0000 0.0000
H1 0.0000 0.0000 0.1279
Pt1 0.0000 0.0000 0.5000
```

[12]
VASP calculation (PBE) on a relaxed structure of ZrGaSe3.

Summary:
- ΔE_f (raw): 0.0287 eV/atom

The structure in CIF format:
```
data_ZrGaSe3
_chemical_formula_sum 'Zr1 Ga1 Se3'
_symmetry_space_group_name_H-M 'P m -3 m'
_symmetry_Int_Tables_number 221
_symmetry_space_group_name_Hall '-P 4 2 3'
_cell_length_a 4.885
_cell_length_b 4.885
_cell_length_c 4.885
_cell_angle_alpha 90.00
_cell_angle_beta 90.00
_cell_angle_gamma 90.00
loop_
_atom_site_label
_atom_site_fract_x
_atom_site_fract_y
_atom_site_fract_z
Zr1 0.000 0.000 0.000
Ga1 0.500 0.500 0.500
Se1 0.000 0.500 0.500
```

| no. | total moment (μB/atom) |
| --- | --- |
| 1 | 0.52 |
| 2 | 0.00 |
| 3 | 0.00 |
| 4 | 0.00 |
| 5 | 0.59 |
| 6 | 0.04 |
| 7 | 0.00 |
| 8 | 0.00 |
| 9 | 0.36 |
| 10 | 0.00 |
| 11 | 0.00 |
| 12 | 0.11 |